1.
{
  "formula": "TaTiNb2C4",
  "functional": "PBE-GGA",
  "state": "relaxed",
  "dos_at_fermi_per_ev_fu": 3.64,
  "formation_enthalpy_0k_ev_per_atom": -0.617,
  "spacegroup": "P2/m, No. 10",
  "lattice_angstrom": [[5.460, 0.000, 0.000], [0.000, 3.155, 0.000], [-1.850, 0.000, 5.152]],
  "species": ["Ta", "Ti", "Nb", "Nb", "C", "C", "C", "C"],
  "frac_coords": [[0.000, 0.000, 0.000], [0.500, 0.500, 0.000], [0.000, 0.500, 0.500], [0.500, 0.000, 0.500], [0.250, 0.500, 0.244], [0.254, 0.000, 0.757], [0.746, 0.000, 0.243], [0.750, 0.500, 0.756]]
}


2.
{
  "formula": "Na2LiCoSe",
  "functional": "PBE-GGA",
  "state": "relaxed",
  "dos_at_fermi_per_ev_fu": 4.00,
  "e_form_raw_kj_per_mol_atoms": 3,
  "spacegroup": "P4/mmm, No. 123",
  "lattice_angstrom": [[5.452, 0.000, 0.000], [0.000, 5.452, 0.000], [0.000, 0.000, 4.319]],
  "species": ["Na", "Na", "Li", "Co", "Se"],
  "frac_coords": [[0.000, 0.500, 0.000], [0.500, 0.000, 0.000], [0.000, 0.000, 0.500], [0.500, 0.500, 0.000], [0.500, 0.500, 0.500]]
}


3.
{
  "formula": "Pm2SmHoSb4",
  "functional": "PBE-GGA",
  "state": "relaxed",
  "dos_at_fermi_per_ev_fu": 1.06,
  "e_form_raw_kj_per_mol_atoms": -112,
  "spacegroup": "P2/m, No. 10",
  "lattice_angstrom": [[7.717, 0.000, 0.000], [0.000, 4.459, 0.000], [-2.574, 0.000, 7.277]],
  "species": ["Pm", "Pm", "Sm", "Ho", "Sb", "Sb", "Sb", "Sb"],
  "frac_coords": [[0.000, 0.000, 0.000], [0.000, 0.500, 0.500], [0.500, 0.000, 0.500], [0.500, 0.500, 0.000], [0.254, 0.500, 0.248], [0.256, 0.000, 0.755], [0.744, 0.000, 0.245], [0.746, 0.500, 0.752]]
}


4.
{
  "formula": "LiAl4Cd2O8",
  "functional": "PBE-GGA",
  "state": "relaxed",
  "dos_at_fermi_per_ev_fu": 1.55,
  "e_form_raw_kj_per_mol_atoms": -206,
  "polymorph_energy_ev_per_atom": 0.0246,
  "spacegroup": "Imm2, No. 44",
  "lattice_angstrom": [[-2.904, 3.060, 4.680], [2.904, -3.060, 4.680], [2.904, 3.060, -4.680]],
  "species": ["Li", "Al", "Al", "Al", "Al", "Cd", "Cd", "O", "O", "O", "O", "O", "O", "O", "O"],
  "frac_coords": [[0.000, 0.000, 0.000], [0.321, 0.585, 0.736], [0.800, 0.059, 0.259], [0.800, 0.541, 0.741], [0.848, 0.585, 0.264], [0.258, 0.258, 0.000], [0.442, 0.942, 0.500], [0.011, 0.814, 0.197], [0.057, 0.364, 0.692], [0.089, 0.373, 0.285], [0.089, 0.804, 0.715], [0.602, 0.388, 0.786], [0.602, 0.817, 0.214], [0.616, 0.814, 0.803], [0.672, 0.364, 0.308]]
}